A plane-wave DFT calculation with GGA-PBE was carried out for an optimized crystal structure of CdRh3.

Cell: 2.8117 2.8117 27.0692 Å, 90.00 90.00 120.00°
With the nearest neighbours (Å) after each atom.
Space group R-3m (No. 166, hexagonal axes)
Unique sites:
Cd  0.0000  0.0000  0.0000  6 Cd 2.81, 6 Rh 2.88
Rh  0.0000  0.0000  0.2454  9 Rh 2.68-2.81, 3 Cd 2.88
Rh  0.0000  0.0000  0.5000  12 Rh 2.68-2.81

Computed properties:
The calculation puts the magnetic moment at 0.0 μB/f.u. Its formation energy is 0.07 eV per atom. As for the density of states at the Fermi level: 5.33 states/eV/f.u.